(1)
Here is HAu3Cl after structural relaxation from Alexandria. Energies are from GGA-PBE.

Results
theoretical density = 13.1 Mg/m³
distance to the lowest polymorph of the same formula = 0.00 eV/f.u.
magnetization = 0.000 μB/atom
D(E_F) = 1.2 states/eV per cell

a = 4.3035 Å, b = 4.3035 Å, c = 4.3035 Å
α = 90.00°, β = 90.00°, γ = 90.00°
Positions (direct):
H: 0.0000 0.0000 0.0000
Au: 0.0000 0.0000 0.5000
Au: 0.0000 0.5000 0.0000
Au: 0.5000 0.0000 0.0000
Cl: 0.5000 0.5000 0.5000



(2)
Here is Mg2InCo after structural relaxation from Alexandria. Energies are from GGA-PBE.

Results
formation energy = 0.07 eV per atom
theoretical density = 5.3 Mg/m³
magnetization = 0.002 μB/atom
D(E_F) = 2.6 states/eV per cell

a = 5.0464 Å, b = 5.0464 Å, c = 5.0464 Å
α = 131.89°, β = 131.89°, γ = 70.40°
Positions (direct):
Mg: 0.0000 0.0000 0.0000
Mg: 0.7500 0.2500 0.5000
In: 0.5000 0.5000 0.0000
Co: 0.2500 0.7500 0.5000



(3)
Here is TbNdHoZn after structural relaxation from Alexandria. Energies are from GGA-PBE.

Results
formation energy = -0.16 eV per atom
theoretical density = 7.9 Mg/m³
distance to the lowest polymorph of the same formula = 0.00 eV/f.u.
magnetization = 0.000 μB/atom
D(E_F) = 4.8 states/eV per cell

a = 3.5915 Å, b = 3.5915 Å, c = 8.7120 Å
α = 90.00°, β = 90.00°, γ = 90.00°
Positions (direct):
Tb: 0.0000 0.0000 0.0000
Nd: 0.5000 0.5000 0.2992
Ho: 0.0000 0.0000 0.5952
Zn: 0.5000 0.5000 0.7942



(4)
Here is NpCuAsSe after structural relaxation from Alexandria. Energies are from GGA-PBE.

Results
theoretical density = 9.8 Mg/m³
magnetization = 0.938 μB/atom
E_form (uncorrected) = -2.16 eV per formula unit
D(E_F) = 18.8 states/eV per cell

a = 4.0865 Å, b = 4.0865 Å, c = 9.2242 Å
α = 90.00°, β = 90.00°, γ = 90.00°
Positions (direct):
Np: 0.2500 0.2500 0.2305
Np: 0.7500 0.7500 0.7695
Cu: 0.2500 0.7500 0.5000
Cu: 0.7500 0.2500 0.5000
As: 0.2500 0.2500 0.6636
As: 0.7500 0.7500 0.3364
Se: 0.2500 0.7500 0.0000
Se: 0.7500 0.2500 0.0000



(5)
Here is Pr6SmHo3Er2 after structural relaxation from Alexandria. Energies are from GGA-PBE.

Results
formation energy = 0.01 eV per atom
theoretical density = 7.5 Mg/m³
magnetization = 0.000 μB/atom
D(E_F) = 13.0 states/eV per cell

a = 6.3029 Å, b = 6.3029 Å, c = 11.8796 Å
α = 95.06°, β = 95.06°, γ = 120.00°
Positions (direct):
Pr: 0.0822 0.4161 0.2493
Pr: 0.2501 0.2501 0.7507
Pr: 0.4161 0.0822 0.2493
Pr: 0.5839 0.9178 0.7507
Pr: 0.7499 0.7499 0.2493
Pr: 0.9178 0.5839 0.7507
Sm: 0.5000 0.5000 0.5000
Ho: 0.0000 0.0000 0.0000
Ho: 0.3332 0.6668 0.0000
Ho: 0.6668 0.3332 0.0000
Er: 0.1666 0.8334 0.5000
Er: 0.8334 0.1666 0.5000



(6)
Here is Mg2CrHg after structural relaxation from Alexandria. Energies are from GGA-PBE.

Results
formation energy = 0.19 eV per atom
theoretical density = 6.2 Mg/m³
magnetization = 1.049 μB/atom
D(E_F) = 2.3 states/eV per cell

a = 3.5846 Å, b = 3.5846 Å, c = 6.2931 Å
α = 90.00°, β = 90.00°, γ = 90.00°
Positions (direct):
Mg: 0.0000 0.0000 0.0000
Mg: 0.5000 0.5000 0.2764
Cr: 0.0000 0.0000 0.5131
Hg: 0.5000 0.5000 0.7557



(7)
Here is AcTiSb2 after structural relaxation from Alexandria. Energies are from GGA-PBE.

Results
theoretical density = 8.1 Mg/m³
distance to the lowest polymorph of the same formula = 0.91 eV/f.u.
magnetization = 0.307 μB/atom
E_form (uncorrected) = -1.86 eV per formula unit
D(E_F) = 3.6 states/eV per cell

a = 3.6802 Å, b = 3.6802 Å, c = 7.8669 Å
α = 90.00°, β = 90.00°, γ = 90.00°
Positions (direct):
Ac: 0.0000 0.0000 0.0000
Ti: 0.0000 0.0000 0.5000
Sb: 0.5000 0.5000 0.2979
Sb: 0.5000 0.5000 0.7021



(8)
Here is Pr4Nd4Cd after structural relaxation from Alexandria. Energies are from GGA-PBE.

Results
formation energy = -0.02 eV per atom
theoretical density = 6.8 Mg/m³
magnetization = 0.000 μB/atom
D(E_F) = 14.0 states/eV per cell

a = 8.1480 Å, b = 8.1480 Å, c = 8.1480 Å
α = 95.66°, β = 95.66°, γ = 143.40°
Positions (direct):
Pr: 0.1637 0.1637 0.3273
Pr: 0.1637 0.8363 0.0000
Pr: 0.8363 0.1637 0.0000
Pr: 0.8363 0.8363 0.6727
Nd: 0.1687 0.5000 0.6687
Nd: 0.5000 0.1687 0.6687
Nd: 0.5000 0.8313 0.3313
Nd: 0.8313 0.5000 0.3313
Cd: 0.5000 0.5000 0.0000



(9)
Here is Dy5CuHg4 after structural relaxation from Alexandria. Energies are from GGA-PBE.

Results
formation energy = -0.42 eV per atom
theoretical density = 11.2 Mg/m³
magnetization = 0.001 μB/atom
D(E_F) = 8.5 states/eV per cell

a = 3.6403 Å, b = 3.6403 Å, c = 18.7609 Å
α = 90.00°, β = 90.00°, γ = 90.00°
Positions (direct):
Dy: 0.0000 0.0000 0.0000
Dy: 0.0000 0.0000 0.2054
Dy: 0.0000 0.0000 0.4116
Dy: 0.0000 0.0000 0.5884
Dy: 0.0000 0.0000 0.7946
Cu: 0.5000 0.5000 0.5000
Hg: 0.5000 0.5000 0.1020
Hg: 0.5000 0.5000 0.3073
Hg: 0.5000 0.5000 0.6927
Hg: 0.5000 0.5000 0.8980



(10)
Here is SmVSi after structural relaxation from Alexandria. Energies are from GGA-PBE.

Results
theoretical density = 6.0 Mg/m³
magnetization = 0.726 μB/atom
E_form (uncorrected) = -0.62 eV per formula unit
D(E_F) = 2.1 states/eV per cell

a = 4.3195 Å, b = 4.3195 Å, c = 3.9412 Å
α = 90.00°, β = 90.00°, γ = 120.00°
Positions (direct):
Sm: 0.0000 0.0000 0.0000
V: 0.3333 0.6667 0.5000
Si: 0.6667 0.3333 0.5000



(11)
Here is BaSc2As after structural relaxation from Alexandria. Energies are from GGA-PBE.

Results
formation energy = -0.06 eV per atom
theoretical density = 4.8 Mg/m³
magnetization = 0.045 μB/atom
D(E_F) = 5.3 states/eV per cell

a = 5.9014 Å, b = 5.9014 Å, c = 5.9014 Å
α = 133.79°, β = 133.79°, γ = 67.41°
Positions (direct):
Ba: 0.0000 0.0000 0.0000
Sc: 0.2500 0.7500 0.5000
Sc: 0.7500 0.2500 0.5000
As: 0.5000 0.5000 0.0000



(12)
Here is TiNbOsRu after structural relaxation from Alexandria. Energies are from GGA-PBE.

Results
formation energy = -0.46 eV per atom
theoretical density = 11.6 Mg/m³
distance to the lowest polymorph of the same formula = 0.00 eV/f.u.
magnetization = 0.000 μB/atom
D(E_F) = 2.9 states/eV per cell

a = 3.0894 Å, b = 3.0894 Å, c = 6.4583 Å
α = 90.00°, β = 90.00°, γ = 90.00°
Positions (direct):
Ti: 0.0000 0.0000 0.0000
Nb: 0.0000 0.0000 0.5002
Os: 0.5000 0.5000 0.2391
Ru: 0.5000 0.5000 0.7693



Copy entry 5 word for word.
Here is Pr6SmHo3Er2 after structural relaxation from Alexandria. Energies are from GGA-PBE.

Results
formation energy = 0.01 eV per atom
theoretical density = 7.5 Mg/m³
magnetization = 0.000 μB/atom
D(E_F) = 13.0 states/eV per cell

a = 6.3029 Å, b = 6.3029 Å, c = 11.8796 Å
α = 95.06°, β = 95.06°, γ = 120.00°
Positions (direct):
Pr: 0.0822 0.4161 0.2493
Pr: 0.2501 0.2501 0.7507
Pr: 0.4161 0.0822 0.2493
Pr: 0.5839 0.9178 0.7507
Pr: 0.7499 0.7499 0.2493
Pr: 0.9178 0.5839 0.7507
Sm: 0.5000 0.5000 0.5000
Ho: 0.0000 0.0000 0.0000
Ho: 0.3332 0.6668 0.0000
Ho: 0.6668 0.3332 0.0000
Er: 0.1666 0.8334 0.5000
Er: 0.8334 0.1666 0.5000



Number 2 is which compound? Mg2InCo



Which of these has the highest theoretical density? HAu3Cl



The highest theoretical density belongs to which entry? HAu3Cl